Here is a relaxed structure of CaLa2Dy3Te6 from the Alexandria database. Energies are from GGA-PBE.

Computed properties:
Raw formation energy: -1.448 eV per atom
V: 375.1 Å³ per cell

Unit cell a=4.4252 b=8.9653 c=9.9687 alpha=103.07 beta=102.82 gamma=90.00
Last column: nearest neighbours and their distance in Å.
Atoms (fractional coordinates):
1 Ca 0.5000 0.0000 0.0000  6 Te 3.14-3.17
2 La 0.8298 0.6615 0.6596  6 Te 3.20-3.29
3 La 0.1702 0.3385 0.3404  6 Te 3.20-3.29
4 Dy 0.5000 0.5000 0.0000  6 Te 3.04-3.13
5 Dy 0.8299 0.1706 0.6597  6 Te 3.05-3.15
6 Dy 0.1701 0.8294 0.3403  6 Te 3.05-3.15
7 Te 0.3341 0.9298 0.6681  3 Dy 3.10-3.11, 1 Ca 3.14, 2 La 3.26
8 Te 0.6609 0.5910 0.3218  3 Dy 3.04-3.05, 3 La 3.20
9 Te 0.6659 0.0702 0.3319  3 Dy 3.10-3.11, 1 Ca 3.14, 2 La 3.26
10 Te 0.9964 0.2513 0.9929  3 Dy 3.13-3.15, 2 Ca 3.17, 1 La 3.29
11 Te 0.0036 0.7487 0.0071  3 Dy 3.13-3.15, 2 Ca 3.17, 1 La 3.29
12 Te 0.3391 0.4090 0.6782  3 Dy 3.04-3.05, 3 La 3.20


Here is a relaxed structure of CaLa3Dy3Te8 from the Alexandria database. Energies are from GGA-PBE.

Computed properties:
Raw formation energy: -1.506 eV per atom
V: 501.7 Å³ per cell

Unit cell a=8.8809 b=8.8799 c=8.9590 alpha=119.71 beta=90.00 gamma=120.00
Last column: nearest neighbours and their distance in Å.
Atoms (fractional coordinates):
1 Ca 0.0000 0.0000 0.5000  6 Te 3.19
2 La 0.0000 0.0000 0.0000  6 Te 3.22
3 La 0.0000 0.5000 0.0000  6 Te 3.22
4 La 0.5000 0.5000 0.0000  6 Te 3.22
5 Dy 0.5000 0.0000 0.5000  6 Te 3.09
6 Dy 0.5000 0.5000 0.5000  6 Te 3.09
7 Dy 0.0000 0.5000 0.5000  6 Te 3.09
8 Te 0.2551 0.5103 0.2656  3 Dy 3.09, 3 La 3.22
9 Te 0.7449 0.4897 0.7344  3 Dy 3.09, 3 La 3.22
10 Te 0.7468 0.4935 0.2575  2 Dy 3.09, 1 Ca 3.19, 2 La 3.22
11 Te 0.2532 0.5065 0.7425  2 Dy 3.09, 1 Ca 3.19, 2 La 3.22
12 Te 0.7471 0.0107 0.2573  2 Dy 3.09, 1 Ca 3.19, 2 La 3.22
13 Te 0.2529 0.9893 0.7427  2 Dy 3.09, 1 Ca 3.19, 2 La 3.22
14 Te 0.2636 0.0107 0.2573  2 Dy 3.09, 1 Ca 3.19, 2 La 3.22
15 Te 0.7364 0.9893 0.7427  2 Dy 3.09, 1 Ca 3.19, 2 La 3.22